{
  "formula": "PmInCu",
  "functional": "GGA-PBE",
  "state": "relaxed",
  "lattice": [[1.966, -3.566, -2.585], [-2.736, -3.669, -1.519], [-1.052, -0.445, -4.686]],
  "species": ["In", "Cu", "Pm"],
  "fractional_positions": [[0.000, 0.000, 0.000], [0.250, 0.250, 0.250], [0.750, 0.750, 0.750]],
  "spacegroup": "F-43m",
  "relative_energy_ev_per_atom": 0.000
}